Record 1
Rb2PdSe16 | SCAN | single point on PBEsol structure

Unit cell a=6.7069 b=12.5425 c=12.5425 alpha=90.00 beta=90.00 gamma=90.00
Closest atoms and distances in Å follow each position.
Fractional positions:
Se: 0.1350 0.2947 0.2941  2 Se 2.40-2.41
Se: 0.0227 0.0237 0.8084  1 Se 2.41, 1 Pd 2.43
Se: 0.5984 0.9174 0.3038  2 Se 2.40-2.41
Se: 0.0227 0.5237 0.6916  1 Se 2.41, 1 Pd 2.43
Se: 0.9773 0.3084 0.5237  1 Se 2.41, 1 Pd 2.43
Se: 0.8650 0.2941 0.7053  2 Se 2.40-2.41
Se: 0.1350 0.7053 0.7059  2 Se 2.40-2.41
Se: 0.5918 0.3035 0.9203  2 Se 2.40-2.41
Se: 0.5918 0.6965 0.0797  2 Se 2.40-2.41
Rb: 0.0000 0.0000 0.5000  12 Se 3.79-3.88
Se: 0.4016 0.6962 0.9174  2 Se 2.40-2.41
Se: 0.4082 0.5797 0.1965  2 Se 2.40-2.41
Se: 0.8650 0.7941 0.7947  2 Se 2.40-2.41
Pd: 0.0000 0.5000 0.5000  4 Se 2.43
Se: 0.4082 0.4203 0.8035  2 Se 2.40-2.41
Se: 0.4082 0.9203 0.6965  2 Se 2.40-2.41
Rb: 0.0000 0.5000 0.0000  12 Se 3.79-3.88
Se: 0.4082 0.0797 0.3035  2 Se 2.40-2.41
Se: 0.4016 0.1962 0.5826  2 Se 2.40-2.41
Se: 0.0227 0.4763 0.3084  1 Se 2.41, 1 Pd 2.43
Se: 0.9773 0.6916 0.4763  1 Se 2.41, 1 Pd 2.43
Rb: 0.5000 0.5000 0.5000  2 Pd 3.35
Se: 0.1350 0.7947 0.2059  2 Se 2.40-2.41
Rb: 0.5000 0.0000 0.0000  2 Pd 3.35
Se: 0.5984 0.5826 0.8038  2 Se 2.40-2.41
Se: 0.8650 0.7059 0.2947  2 Se 2.40-2.41
Se: 0.9773 0.8084 0.9763  1 Se 2.41, 1 Pd 2.43
Se: 0.0227 0.9763 0.1916  1 Se 2.41, 1 Pd 2.43
Se: 0.4016 0.8038 0.4174  2 Se 2.40-2.41
Se: 0.4016 0.3038 0.0826  2 Se 2.40-2.41
Se: 0.5918 0.1965 0.4203  2 Se 2.40-2.41
Se: 0.5984 0.4174 0.1962  2 Se 2.40-2.41
Se: 0.5984 0.0826 0.6962  2 Se 2.40-2.41
Se: 0.5918 0.8035 0.5797  2 Se 2.40-2.41
Se: 0.9773 0.1916 0.0237  1 Se 2.41, 1 Pd 2.43
Se: 0.1350 0.2053 0.7941  2 Se 2.40-2.41
Se: 0.8650 0.2059 0.2053  2 Se 2.40-2.41
Pd: 0.0000 0.0000 0.0000  4 Se 2.43

Size of the total moment, μB/atom: 0.00
ΔE_f (raw), eV/atom: -0.33
E, eV/cell: -803.39

---

Record 2
K2ZrAg | SCAN | single point on PBEsol structure

Unit cell a=3.0101 b=5.7669 c=7.0362 alpha=113.79 beta=101.63 gamma=91.72
Closest atoms and distances in Å follow each position.
Fractional positions:
Zr: 0.0000 0.5000 0.0000  2 Zr 3.01, 4 Ag 3.21-3.29
Ag: 0.5000 0.0000 0.0000  2 Ag 3.01, 4 Zr 3.21-3.29
K: 0.0000 0.0000 0.5000  6 K 3.01-3.29
K: 0.5000 0.5000 0.5000  6 K 3.01-3.29

Size of the total moment, μB/atom: 0.30
Formation energy, meV/atom: 737
E above lowest polymorph, kJ/mol of formula units: 0
E, eV/cell: -75.78

---

Which value of size of the total moment does entry 1 give? 0.00 μB/atom